## Re2SeCl (GGA-PBEsol)

Data for an optimized crystal structure of Re2SeCl.

Unit cell a=3.0694 b=4.3224 c=4.3224 alpha=90.00 beta=90.00 gamma=90.00
With the nearest neighbours (Å) after each atom.
Positions (direct):
Re 0.0000 0.0000 0.5000  4 Se 2.65, 4 Cl 2.65
Re 0.0000 0.5000 0.0000  4 Cl 2.65, 4 Se 2.65
Se 0.5000 0.5000 0.5000  8 Re 2.65
Cl 0.5000 0.0000 0.0000  8 Re 2.65

## Properties
* crystal system: tetragonal



## Li3FeSi6O15 (GGA-PBEsol)

Data for an optimized crystal structure of Li3FeSi6O15.

Unit cell a=9.8723 b=9.8723 c=14.2587 alpha=90.00 beta=90.00 gamma=120.00
With the nearest neighbours (Å) after each atom.
Positions (direct):
Li 0.5000 0.0000 0.2500  4 O 1.94
Li 0.5000 0.0000 0.7500  4 O 1.94
Li 0.3333 0.6667 0.5000  3 O 2.05
Li 0.6667 0.3333 0.5000  3 O 2.05
Li 0.0000 0.0000 0.2500  12 O 3.10
Li 0.0000 0.0000 0.7500  12 O 3.10
Li 0.3333 0.6667 0.0000  3 O 2.05
Li 0.0000 0.5000 0.2500  4 O 1.94
Li 0.0000 0.5000 0.7500  4 O 1.94
Li 0.6667 0.3333 0.0000  3 O 2.05
Li 0.5000 0.5000 0.2500  4 O 1.94
Li 0.5000 0.5000 0.7500  4 O 1.94
Fe 0.3333 0.6667 0.2500  6 O 1.90
Fe 0.6667 0.3333 0.2500  6 O 1.90
Fe 0.6667 0.3333 0.7500  6 O 1.90
Fe 0.3333 0.6667 0.7500  6 O 1.90
Si 0.2358 0.8670 0.8905  4 O 1.59-1.66
Si 0.2358 0.8670 0.1095  4 O 1.59-1.66
Si 0.7642 0.6312 0.3905  4 O 1.59-1.66
Si 0.7642 0.6312 0.6095  4 O 1.59-1.66
Si 0.1330 0.7642 0.3905  4 O 1.59-1.66
Si 0.1330 0.7642 0.6095  4 O 1.59-1.66
Si 0.8670 0.6312 0.1095  4 O 1.59-1.66
Si 0.8670 0.6312 0.8905  4 O 1.59-1.66
Si 0.6312 0.8670 0.6095  4 O 1.59-1.66
Si 0.6312 0.8670 0.3905  4 O 1.59-1.66
Si 0.3688 0.2358 0.1095  4 O 1.59-1.66
Si 0.3688 0.2358 0.8905  4 O 1.59-1.66
Si 0.6312 0.7642 0.8905  4 O 1.59-1.66
Si 0.6312 0.7642 0.1095  4 O 1.59-1.66
Si 0.3688 0.1330 0.6095  4 O 1.59-1.66
Si 0.3688 0.1330 0.3905  4 O 1.59-1.66
Si 0.1330 0.3688 0.1095  4 O 1.59-1.66
Si 0.1330 0.3688 0.8905  4 O 1.59-1.66
Si 0.8670 0.2358 0.3905  4 O 1.59-1.66
Si 0.8670 0.2358 0.6095  4 O 1.59-1.66
Si 0.2358 0.3688 0.3905  4 O 1.59-1.66
Si 0.2358 0.3688 0.6095  4 O 1.59-1.66
Si 0.7642 0.1330 0.1095  4 O 1.59-1.66
Si 0.7642 0.1330 0.8905  4 O 1.59-1.66
O 0.2305 0.9525 0.3741  2 Si 1.63
O 0.2305 0.9525 0.6259  2 Si 1.63
O 0.7695 0.7220 0.1259  2 Si 1.63
O 0.7695 0.7220 0.8741  2 Si 1.63
O 0.0475 0.7695 0.8741  2 Si 1.63
O 0.0475 0.7695 0.1259  2 Si 1.63
O 0.9525 0.7220 0.3741  2 Si 1.63
O 0.9525 0.7220 0.6259  2 Si 1.63
O 0.2702 0.8358 0.0000  2 Si 1.66
O 0.7298 0.5655 0.5000  2 Si 1.66
O 0.1642 0.7298 0.5000  2 Si 1.66
O 0.8358 0.5655 0.0000  2 Si 1.66
O 0.3437 0.8305 0.1749  1 Si 1.59
O 0.3437 0.8305 0.8251  1 Si 1.59
O 0.6563 0.4868 0.6749  1 Si 1.59
O 0.6563 0.4868 0.3251  1 Si 1.59
O 0.4868 0.8305 0.3251  1 Si 1.59
O 0.4868 0.8305 0.6749  1 Si 1.59
O 0.5132 0.3437 0.1749  1 Si 1.59
O 0.5132 0.3437 0.8251  1 Si 1.59
O 0.7220 0.9525 0.1259  2 Si 1.63
O 0.7220 0.9525 0.8741  2 Si 1.63
O 0.2780 0.2305 0.3741  2 Si 1.63
O 0.2780 0.2305 0.6259  2 Si 1.63
O 0.1695 0.6563 0.3251  1 Si 1.59
O 0.1695 0.6563 0.6749  1 Si 1.59
O 0.8305 0.4868 0.1749  1 Si 1.59
O 0.8305 0.4868 0.8251  1 Si 1.59
O 0.5655 0.8358 0.5000  2 Si 1.66
O 0.4345 0.2702 0.0000  2 Si 1.66
O 0.5655 0.7298 0.0000  2 Si 1.66
O 0.4345 0.1642 0.5000  2 Si 1.66
O 0.1695 0.5132 0.8251  1 Si 1.59
O 0.1695 0.5132 0.1749  1 Si 1.59
O 0.8305 0.3437 0.3251  1 Si 1.59
O 0.8305 0.3437 0.6749  1 Si 1.59
O 0.7220 0.7695 0.3741  2 Si 1.63
O 0.7220 0.7695 0.6259  2 Si 1.63
O 0.2780 0.0475 0.1259  2 Si 1.63
O 0.2780 0.0475 0.8741  2 Si 1.63
O 0.4868 0.6563 0.8251  1 Si 1.59
O 0.4868 0.6563 0.1749  1 Si 1.59
O 0.5132 0.1695 0.3251  1 Si 1.59
O 0.5132 0.1695 0.6749  1 Si 1.59
O 0.3437 0.5132 0.3251  1 Si 1.59
O 0.3437 0.5132 0.6749  1 Si 1.59
O 0.6563 0.1695 0.1749  1 Si 1.59
O 0.6563 0.1695 0.8251  1 Si 1.59
O 0.1642 0.4345 0.0000  2 Si 1.66
O 0.8358 0.2702 0.5000  2 Si 1.66
O 0.2702 0.4345 0.5000  2 Si 1.66
O 0.7298 0.1642 0.0000  2 Si 1.66
O 0.0475 0.2780 0.3741  2 Si 1.63
O 0.0475 0.2780 0.6259  2 Si 1.63
O 0.9525 0.2305 0.1259  2 Si 1.63
O 0.9525 0.2305 0.8741  2 Si 1.63
O 0.2305 0.2780 0.1259  2 Si 1.63
O 0.2305 0.2780 0.8741  2 Si 1.63
O 0.7695 0.0475 0.3741  2 Si 1.63
O 0.7695 0.0475 0.6259  2 Si 1.63

## Properties
* crystal system: hexagonal



## Mg2ScCd (GGA-PBEsol)

Data for an optimized crystal structure of Mg2ScCd.

Unit cell a=3.3915 b=5.0497 c=5.9419 alpha=115.15 beta=106.58 gamma=90.00
With the nearest neighbours (Å) after each atom.
Positions (direct):
Sc 0.5000 0.0000 0.0000  4 Cd 3.04, 4 Mg 3.20, 2 Sc 3.39
Mg 0.7341 0.7341 0.4683  2 Cd 2.93, 4 Mg 3.06, 2 Sc 3.20
Mg 0.2659 0.2659 0.5317  2 Cd 2.93, 4 Mg 3.06, 2 Sc 3.20
Cd 0.0000 0.5000 0.0000  4 Mg 2.93, 4 Sc 3.04

## Properties
* crystal system: orthorhombic
* energy of formation from the pure elements: -8.63 kJ/mol of atoms



## BaSiPb2 (GGA-PBEsol)

Data for an optimized crystal structure of BaSiPb2.

Unit cell a=4.0562 b=4.0562 c=7.2407 alpha=90.00 beta=90.00 gamma=90.00
With the nearest neighbours (Å) after each atom.
Positions (direct):
Ba 0.5000 0.5000 0.7345  5 Pb 3.34-3.68, 4 Si 3.58
Pb 0.0000 0.0000 0.0536  1 Si 2.79
Pb 0.5000 0.5000 0.2734  4 Si 3.11, 4 Pb 3.28, 1 Ba 3.34
Si 0.0000 0.0000 0.4385  5 Pb 2.79-3.11

## Properties
* crystal system: tetragonal



## NiMoBrCl2 (GGA-PBEsol)

Data for an optimized crystal structure of NiMoBrCl2.

Unit cell a=4.2922 b=4.2922 c=5.4645 alpha=90.00 beta=90.00 gamma=90.00
With the nearest neighbours (Å) after each atom.
Positions (direct):
Ni 0.0000 0.0000 0.0000  4 Cl 2.15
Mo 0.0000 0.0000 0.5000  2 Ni 2.73, 4 Br 3.04
Br 0.5000 0.5000 0.5000  4 Mo 3.04
Cl 0.0000 0.5000 0.0000  2 Ni 2.15
Cl 0.5000 0.0000 0.0000  2 Ni 2.15

## Properties
* crystal system: tetragonal



## Li8Ti15O32 (GGA-PBEsol)

Data for an optimized crystal structure of Li8Ti15O32.

Unit cell a=5.9029 b=5.9029 c=19.5608 alpha=81.32 beta=81.32 gamma=60.00
With the nearest neighbours (Å) after each atom.
Positions (direct):
Li 0.5618 0.5618 0.3146  4 O 1.99-2.01
Li 0.3130 0.3130 0.0609  4 O 1.97-2.00
Li 0.2499 0.2499 0.2503  4 O 1.97-1.98
Li 0.8117 0.8117 0.5648  4 O 1.96-2.01
Li 0.1562 0.1562 0.5315  6 O 2.09-2.10
Li 0.7509 0.7509 0.7473  4 O 1.98-2.00
Li 0.5006 0.5006 0.4981  4 O 1.96-2.01
Li 0.0619 0.0619 0.8143  4 O 1.97-2.00
Ti 0.7819 0.2803 0.1560  6 O 1.95-2.00
Ti 0.6569 0.6569 0.0292  6 O 1.96-2.02
Ti 0.7819 0.7819 0.1560  6 O 1.95-2.00
Ti 0.2803 0.7819 0.1560  6 O 1.95-2.00
Ti 0.9057 0.9057 0.2829  6 O 1.95-2.00
Ti 0.5235 0.0335 0.4096  6 O 1.90-2.04
Ti 0.0335 0.0335 0.4096  6 O 1.90-2.04
Ti 0.2789 0.2789 0.6533  6 O 1.90-2.03
Ti 0.2789 0.7888 0.6533  6 O 1.90-2.03
Ti 0.0335 0.5235 0.4096  6 O 1.90-2.04
Ti 0.7888 0.2789 0.6533  6 O 1.90-2.03
Ti 0.0287 0.5324 0.9065  6 O 1.95-2.01
Ti 0.5324 0.0287 0.9065  6 O 1.95-2.01
Ti 0.4066 0.4066 0.7802  6 O 1.96-1.99
Ti 0.5324 0.5324 0.9065  6 O 1.95-2.01
O 0.4841 0.4841 0.0972  3 Ti 1.98-2.02, 1 Li 2.00
O 0.4841 0.9346 0.0972  3 Ti 1.98-2.02, 1 Li 2.00
O 0.5966 0.5966 0.2101  3 Ti 2.00, 1 Li 2.01
O 0.9646 0.9646 0.1062  3 Ti 1.95
O 0.6266 0.0784 0.2167  1 Li 1.98, 3 Ti 2.00
O 0.3350 0.3350 0.4604  2 Ti 1.90, 2 Li 1.96-2.10
O 0.0784 0.0784 0.2167  1 Li 1.98, 3 Ti 2.00
O 0.1815 0.7359 0.3468  3 Ti 1.95-2.04, 1 Li 1.99
O 0.9346 0.4841 0.0972  3 Ti 1.98-2.02, 1 Li 2.00
O 0.9774 0.4427 0.6025  2 Ti 1.90, 2 Li 1.96-2.09
O 0.8465 0.8465 0.4605  3 Ti 2.00, 1 Li 2.01
O 0.7359 0.1815 0.3468  3 Ti 1.95-2.04, 1 Li 1.99
O 0.2158 0.2158 0.3527  1 Li 1.97, 3 Ti 2.00
O 0.0784 0.6266 0.2167  1 Li 1.98, 3 Ti 2.00
O 0.3350 0.8696 0.4604  2 Ti 1.90, 2 Li 1.96-2.10
O 0.1311 0.5765 0.7158  3 Ti 1.96-2.03, 1 Li 1.98
O 0.8696 0.3350 0.4604  2 Ti 1.90, 2 Li 1.96-2.10
O 0.4427 0.9774 0.6025  2 Ti 1.90, 2 Li 1.96-2.09
O 0.7359 0.7359 0.3468  3 Ti 1.95-2.04, 1 Li 1.99
O 0.9774 0.9774 0.6025  2 Ti 1.90, 2 Li 1.96-2.09
O 0.0966 0.0966 0.7102  3 Ti 2.00, 1 Li 2.00
O 0.5765 0.1311 0.7158  3 Ti 1.96-2.03, 1 Li 1.98
O 0.4659 0.4659 0.6022  3 Ti 2.00, 1 Li 2.01
O 0.7163 0.7163 0.8511  3 Ti 2.00, 1 Li 2.00
O 0.8256 0.3846 0.9641  3 Ti 1.95-1.96
O 0.8256 0.8256 0.9641  3 Ti 1.95-1.96
O 0.5765 0.5765 0.7158  3 Ti 1.96-2.03, 1 Li 1.98
O 0.3846 0.8256 0.9641  3 Ti 1.95-1.96
O 0.2349 0.2349 0.8459  1 Li 1.97, 3 Ti 1.99-2.01
O 0.6843 0.2349 0.8459  1 Li 1.97, 3 Ti 1.99-2.01
O 0.2349 0.6843 0.8459  1 Li 1.97, 3 Ti 1.99-2.01
O 0.3471 0.3471 0.9586  1 Li 1.97, 3 Ti 1.99

## Properties
* crystal system: trigonal



## Pr2ZnRu (GGA-PBEsol)

Data for an optimized crystal structure of Pr2ZnRu.

Unit cell a=5.0273 b=5.0273 c=5.0273 alpha=60.00 beta=60.00 gamma=60.00
With the nearest neighbours (Å) after each atom.
Positions (direct):
Pr 0.2500 0.2500 0.2500  4 Ru 3.08, 4 Zn 3.08
Pr 0.7500 0.7500 0.7500  4 Ru 3.08, 4 Zn 3.08
Ru 0.5000 0.5000 0.5000  8 Pr 3.08
Zn 0.0000 0.0000 0.0000  8 Pr 3.08

## Properties
* crystal system: cubic
* energy of formation from the pure elements: -12.97 kJ/mol of atoms



## CaMnO2 (GGA-PBEsol)

Data for an optimized crystal structure of CaMnO2.

Unit cell a=3.2584 b=3.2584 c=4.5613 alpha=90.00 beta=90.00 gamma=90.00
With the nearest neighbours (Å) after each atom.
Positions (direct):
Ca 0.5000 0.5000 0.5000  6 O 2.28-2.30
Mn 0.0000 0.0000 0.0000  6 O 2.28-2.30
O 0.5000 0.5000 0.0000  2 Ca 2.28, 4 Mn 2.30
O 0.0000 0.0000 0.5000  2 Mn 2.28, 4 Ca 2.30

## Properties
* crystal system: tetragonal



## Ni3AgAu (GGA-PBEsol)

Data for an optimized crystal structure of Ni3AgAu.

Unit cell a=4.5765 b=4.5765 c=4.5765 alpha=90.00 beta=90.00 gamma=90.00
With the nearest neighbours (Å) after each atom.
Positions (direct):
Ni 0.0000 0.5000 0.0000  2 Au 2.29
Ni 0.0000 0.0000 0.5000  2 Au 2.29
Ni 0.5000 0.0000 0.0000  2 Au 2.29
Au 0.0000 0.0000 0.0000  6 Ni 2.29
Ag 0.5000 0.5000 0.5000  12 Ni 3.24

## Properties
* crystal system: cubic
* energy of formation from the pure elements: 136.15 kJ/mol of atoms



## BePt3 (GGA-PBEsol)

Data for an optimized crystal structure of BePt3.

Unit cell a=2.7278 b=2.7278 c=8.3193 alpha=90.00 beta=90.00 gamma=120.00
With the nearest neighbours (Å) after each atom.
Positions (direct):
Be 0.0000 0.0000 0.0000  6 Pt 2.35
Pt 0.0000 0.0000 0.5000  12 Pt 2.73-2.89
Pt 0.6667 0.3333 0.7906  3 Be 2.35
Pt 0.6667 0.3333 0.2094  3 Be 2.35

## Properties
* crystal system: hexagonal
* energy of formation from the pure elements: -34.18 kJ/mol of atoms



## Sr3GeO5 (GGA-PBEsol)

Data for an optimized crystal structure of Sr3GeO5.

Unit cell a=7.0436 b=7.0436 c=11.1032 alpha=90.00 beta=90.00 gamma=90.00
With the nearest neighbours (Å) after each atom.
Positions (direct):
Sr 0.0000 0.5000 0.0117  5 O 2.43-2.55
Sr 0.0000 0.5000 0.5117  5 O 2.43-2.55
Sr 0.1947 0.1947 0.2500  6 O 2.46-2.60
Sr 0.1947 0.8053 0.7500  6 O 2.46-2.60
Sr 0.3053 0.3053 0.7500  6 O 2.46-2.60
Sr 0.3053 0.6947 0.2500  6 O 2.46-2.60
Sr 0.5000 0.0000 0.4883  5 O 2.43-2.55
Sr 0.5000 0.0000 0.9883  5 O 2.43-2.55
Sr 0.6947 0.3053 0.2500  6 O 2.46-2.60
Sr 0.6947 0.6947 0.7500  6 O 2.46-2.60
Sr 0.8053 0.8053 0.2500  6 O 2.46-2.60
Sr 0.8053 0.1947 0.7500  6 O 2.46-2.60
Ge 0.0000 0.0000 0.0000  4 O 1.76
Ge 0.0000 0.0000 0.5000  4 O 1.76
Ge 0.5000 0.5000 0.0000  4 O 1.76
Ge 0.5000 0.5000 0.5000  4 O 1.76
O 0.0000 0.5000 0.2930  5 Sr 2.43-2.59
O 0.0000 0.5000 0.7930  5 Sr 2.43-2.59
O 0.1765 0.0859 0.9014  1 Ge 1.76
O 0.1765 0.9141 0.4014  1 Ge 1.76
O 0.0859 0.1765 0.5986  1 Ge 1.76
O 0.0859 0.8235 0.0986  1 Ge 1.76
O 0.4141 0.3235 0.4014  1 Ge 1.76
O 0.4141 0.6765 0.9014  1 Ge 1.76
O 0.3235 0.4141 0.0986  1 Ge 1.76
O 0.3235 0.5859 0.5986  1 Ge 1.76
O 0.5000 0.0000 0.2070  5 Sr 2.43-2.59
O 0.5000 0.0000 0.7070  5 Sr 2.43-2.59
O 0.6765 0.4141 0.5986  1 Ge 1.76
O 0.6765 0.5859 0.0986  1 Ge 1.76
O 0.5859 0.6765 0.4014  1 Ge 1.76
O 0.5859 0.3235 0.9014  1 Ge 1.76
O 0.9141 0.1765 0.0986  1 Ge 1.76
O 0.9141 0.8235 0.5986  1 Ge 1.76
O 0.8235 0.0859 0.4014  1 Ge 1.76
O 0.8235 0.9141 0.9014  1 Ge 1.76

## Properties
* crystal system: tetragonal



## IrRu2 (GGA-PBEsol)

Data for an optimized crystal structure of IrRu2.

Unit cell a=3.4626 b=3.4626 c=4.5239 alpha=90.00 beta=90.00 gamma=120.00
With the nearest neighbours (Å) after each atom.
Positions (direct):
Ir 0.0000 0.0000 0.0000  6 Ru 2.56
Ru 0.6667 0.3333 0.6473  3 Ru 2.40, 3 Ir 2.56
Ru 0.3333 0.6667 0.3527  3 Ru 2.40, 3 Ir 2.56

## Properties
* crystal system: trigonal
* energy of formation from the pure elements: 113.84 kJ/mol of atoms



no.,density of states at the Fermi level (states/eV per cell),E_tot (eV for the cell shown),V (Å³ per atom)
1,3.520,-28.3,14.34
2,40.137,-760.0,12.03
3,3.162,-11.6,21.86
4,2.305,-16.3,29.78
5,1.733,-21.9,20.13
6,14.720,-466.7,10.57
7,3.122,-22.7,22.46
8,0.575,-30.5,12.11
9,14.517,-18.7,19.17
10,3.302,-26.3,13.40
11,0.000,-240.3,15.30
12,3.415,-26.6,15.66